1.
Computed, not measured: a relaxed structure of CuTeOsO6 at the GGA-PBE level of DFT.

Values from the calculation:
Space group: P-31c, No. 163
ΔE_f (raw): -7.15 eV/f.u.

abc: 5.280 5.280 8.952
angles: 90.00 90.00 120.00
Fractional coordinates of all 18 atoms:
Cu (0.000, 0.000, 0.000)
Cu (0.000, 0.000, 0.500)
Te (0.333, 0.667, 0.250)
Te (0.667, 0.333, 0.750)
Os (0.333, 0.667, 0.750)
Os (0.667, 0.333, 0.250)
O (0.014, 0.362, 0.631)
O (0.014, 0.653, 0.869)
O (0.347, 0.362, 0.869)
O (0.347, 0.986, 0.631)
O (0.362, 0.014, 0.131)
O (0.362, 0.347, 0.369)
O (0.638, 0.653, 0.631)
O (0.638, 0.986, 0.869)
O (0.653, 0.014, 0.369)
O (0.653, 0.638, 0.131)
O (0.986, 0.347, 0.131)
O (0.986, 0.638, 0.369)


2.
Computed, not measured: a relaxed structure of TlCuOsO5 at the GGA-PBE level of DFT.

Values from the calculation:
Space group: C2/c, No. 15
ΔE_f (raw): -6.70 eV/f.u.

abc: 5.954 5.954 7.458
angles: 106.27 106.27 105.71
Fractional coordinates of all 16 atoms:
Tl (0.177, 0.823, 0.750)
Tl (0.823, 0.177, 0.250)
Cu (0.190, 0.810, 0.250)
Cu (0.810, 0.190, 0.750)
Os (0.500, 0.500, 0.000)
Os (0.500, 0.500, 0.500)
O (0.171, 0.260, 0.889)
O (0.235, 0.617, 0.413)
O (0.260, 0.171, 0.389)
O (0.383, 0.765, 0.087)
O (0.445, 0.555, 0.750)
O (0.555, 0.445, 0.250)
O (0.617, 0.235, 0.913)
O (0.740, 0.829, 0.611)
O (0.765, 0.383, 0.587)
O (0.829, 0.740, 0.111)


3.
Computed, not measured: a relaxed structure of TlCuOsO4 at the GGA-PBE level of DFT.

Values from the calculation:
Space group: Imma, No. 74
ΔE_f (raw): -4.82 eV/f.u.

abc: 6.866 6.866 6.866
angles: 128.05 124.82 79.20
Fractional coordinates of all 14 atoms:
Tl (0.421, 0.171, 0.250)
Tl (0.579, 0.829, 0.750)
Cu (0.000, 0.000, 0.500)
Cu (0.000, 0.500, 0.000)
Os (0.000, 0.500, 0.500)
Os (0.500, 0.500, 0.000)
O (0.124, 0.681, 0.443)
O (0.262, 0.319, 0.943)
O (0.267, 0.317, 0.550)
O (0.267, 0.718, 0.950)
O (0.733, 0.282, 0.050)
O (0.733, 0.683, 0.450)
O (0.738, 0.681, 0.057)
O (0.876, 0.319, 0.557)


4.
Computed, not measured: a relaxed structure of TlCuOs2O8 at the GGA-PBE level of DFT.

Values from the calculation:
Space group: P-3, No. 147
ΔE_f (raw): -9.98 eV/f.u.

abc: 5.433 5.433 8.008
angles: 90.00 90.00 120.00
Fractional coordinates of all 12 atoms:
Tl (0.000, 0.000, 0.000)
Cu (0.000, 0.000, 0.500)
Os (0.333, 0.667, 0.724)
Os (0.667, 0.333, 0.276)
O (0.052, 0.331, 0.655)
O (0.279, 0.948, 0.655)
O (0.331, 0.279, 0.345)
O (0.333, 0.667, 0.945)
O (0.667, 0.333, 0.055)
O (0.669, 0.721, 0.655)
O (0.721, 0.052, 0.345)
O (0.948, 0.669, 0.345)


5.
Computed, not measured: a relaxed structure of Tl3CuOs2O8 at the GGA-PBE level of DFT.

Values from the calculation:
Space group: P-3m1, No. 164
ΔE_f (raw): -9.66 eV/f.u.

abc: 5.987 5.987 7.854
angles: 90.00 90.00 120.00
Fractional coordinates of all 14 atoms:
Tl (0.000, 0.000, 0.000)
Tl (0.333, 0.667, 0.666)
Tl (0.667, 0.333, 0.334)
Cu (0.000, 0.000, 0.500)
Os (0.333, 0.667, 0.233)
Os (0.667, 0.333, 0.767)
O (0.168, 0.337, 0.320)
O (0.168, 0.832, 0.320)
O (0.333, 0.667, 0.005)
O (0.337, 0.168, 0.680)
O (0.663, 0.832, 0.320)
O (0.667, 0.333, 0.995)
O (0.832, 0.168, 0.680)
O (0.832, 0.663, 0.680)


6.
Computed, not measured: a relaxed structure of TlCuOsO6 at the GGA-PBE level of DFT.

Values from the calculation:
Space group: C2, No. 5
ΔE_f (raw): -6.42 eV/f.u.

abc: 5.217 5.217 4.901
angles: 92.13 92.13 117.67
Fractional coordinates of all 9 atoms:
Tl (0.000, 0.000, 0.000)
Cu (0.322, 0.678, 0.500)
Os (0.660, 0.340, 0.500)
O (0.365, 0.391, 0.283)
O (0.369, 0.028, 0.692)
O (0.609, 0.635, 0.717)
O (0.621, 0.052, 0.257)
O (0.948, 0.379, 0.743)
O (0.972, 0.631, 0.308)


7.
Computed, not measured: a relaxed structure of Tl2Cu2OsO6 at the GGA-PBE level of DFT.

Values from the calculation:
Space group: R-3m, No. 166
ΔE_f (raw): -8.45 eV/f.u.

abc: 6.377 6.377 6.377
angles: 55.12 55.12 55.12
Fractional coordinates of all 11 atoms:
Tl (0.216, 0.216, 0.216)
Tl (0.784, 0.784, 0.784)
Cu (0.397, 0.397, 0.397)
Cu (0.603, 0.603, 0.603)
Os (0.000, 0.000, 0.000)
O (0.220, 0.220, 0.771)
O (0.220, 0.771, 0.220)
O (0.229, 0.780, 0.780)
O (0.771, 0.220, 0.220)
O (0.780, 0.229, 0.780)
O (0.780, 0.780, 0.229)


> Among the records above, which one has the lowest ΔE_f (raw)?

TlCuOs2O8